Entry 1:
RbAg2GeS4 after structural relaxation. Source: Alexandria via LeMat-Bulk, functional PBE-GGA.

Lattice parameters (Å, degrees): 6.3830 6.3830 6.3830 115.81 115.54 97.67
Last column: nearest neighbours and their distance in Å.
Fractional coordinates of all 8 atoms:
Rb 0.0000 0.0000 0.0000  8 S 3.24-3.44
Ag 0.2546 0.7546 0.5000  4 S 2.58-2.61
Ag 0.7454 0.2454 0.5000  4 S 2.58-2.61
Ge 0.5000 0.5000 0.0000  4 S 2.24
S 0.1556 0.5369 0.0002  1 Ge 2.24
S 0.4633 0.4631 0.6187  1 Ge 2.24
S 0.5367 0.1554 0.9998  1 Ge 2.24
S 0.8444 0.8446 0.3813  1 Ge 2.24

Calculated values
Energy relative to the elements, uncorrected (eV per atom): -0.4188



Entry 2:
RbAgGeTe3 after structural relaxation. Source: Alexandria via LeMat-Bulk, functional PBE-GGA.

Lattice parameters (Å, degrees): 6.8086 5.4633 10.7052 90.00 104.87 90.00
Last column: nearest neighbours and their distance in Å.
Fractional coordinates of all 12 atoms:
Rb 0.2458 0.2500 0.3121  6 Te 3.54-3.72, 1 Ag 3.66, 3 Ge 3.71-3.96
Rb 0.7542 0.7500 0.6879  6 Te 3.54-3.72, 1 Ag 3.66, 3 Ge 3.71-3.96
Ag 0.3666 0.7500 0.8693  4 Te 2.87-3.03
Ag 0.6334 0.2500 0.1307  4 Te 2.87-3.03
Ge 0.1479 0.2500 0.6377  4 Te 2.67-2.94
Ge 0.8521 0.7500 0.3623  4 Te 2.67-2.94
Te 0.0473 0.2500 0.8633  1 Ge 2.67
Te 0.2180 0.7500 0.5797  3 Ge 2.87-2.94, 1 Ag 3.00
Te 0.4497 0.7500 0.1463  3 Ag 2.87-3.03, 1 Ge 3.10
Te 0.5503 0.2500 0.8537  3 Ag 2.87-3.03, 1 Ge 3.10
Te 0.7820 0.2500 0.4203  3 Ge 2.87-2.94, 1 Ag 3.00
Te 0.9527 0.7500 0.1367  1 Ge 2.67

Calculated values
Energy relative to the elements, uncorrected (eV per atom): -0.2597



Entry 3:
RbAgGeTe2 after structural relaxation. Source: Alexandria via LeMat-Bulk, functional PBE-GGA.

Lattice parameters (Å, degrees): 8.8668 6.9897 5.3826 90.00 99.16 90.00
Last column: nearest neighbours and their distance in Å.
Fractional coordinates of all 10 atoms:
Rb 0.0000 0.2437 0.2500  4 Te 3.62-3.64
Rb 0.0000 0.7563 0.7500  4 Te 3.62-3.64
Ag 0.5000 0.4054 0.2500  4 Te 2.93-3.02, 2 Ag 3.00, 2 Ge 3.14
Ag 0.5000 0.5946 0.7500  4 Te 2.93-3.02, 2 Ag 3.00, 2 Ge 3.14
Ge 0.5000 0.0000 0.0000  2 Ge 2.69, 2 Te 2.85
Ge 0.5000 0.0000 0.5000  2 Ge 2.69, 2 Te 2.85
Te 0.2767 0.2813 0.8204  1 Ge 2.85, 2 Ag 2.93-3.02
Te 0.2767 0.7187 0.3204  1 Ge 2.85, 2 Ag 2.93-3.02
Te 0.7233 0.2813 0.6796  1 Ge 2.85, 2 Ag 2.93-3.02
Te 0.7233 0.7187 0.1796  1 Ge 2.85, 2 Ag 2.93-3.02

Calculated values
Energy relative to the elements, uncorrected (eV per atom): -0.1941



Entry 4:
Rb2AgGeTe4 after structural relaxation. Source: Alexandria via LeMat-Bulk, functional PBE-GGA.

Lattice parameters (Å, degrees): 14.3497 12.6673 8.3847 83.28 61.25 35.47
Last column: nearest neighbours and their distance in Å.
Fractional coordinates of all 16 atoms:
Rb 0.0560 0.0560 0.6940  6 Te 3.80-4.06
Rb 0.3060 0.3060 0.9440  6 Te 3.80-4.06
Rb 0.6940 0.6940 0.0560  6 Te 3.80-4.06
Rb 0.9440 0.9440 0.3060  6 Te 3.80-4.06
Ag 0.1250 0.1250 0.1250  4 Te 2.83
Ag 0.8750 0.8750 0.8750  4 Te 2.83
Ge 0.3750 0.3750 0.3750  4 Te 2.62
Ge 0.6250 0.6250 0.6250  4 Te 2.62
Te 0.0101 0.3533 0.4436  1 Ge 2.62, 1 Ag 2.83
Te 0.3071 0.5564 0.6467  1 Ge 2.62, 1 Ag 2.83
Te 0.3533 0.0101 0.6929  1 Ge 2.62, 1 Ag 2.83
Te 0.4436 0.6929 0.0101  1 Ge 2.62, 1 Ag 2.83
Te 0.5564 0.3071 0.9899  1 Ge 2.62, 1 Ag 2.83
Te 0.6467 0.9899 0.3071  1 Ge 2.62, 1 Ag 2.83
Te 0.6929 0.4436 0.3533  1 Ge 2.62, 1 Ag 2.83
Te 0.9899 0.6467 0.5564  1 Ge 2.62, 1 Ag 2.83

Calculated values
Energy relative to the elements, uncorrected (eV per atom): -0.4386



Entry 5:
RbTlAg2Ge after structural relaxation. Source: Alexandria via LeMat-Bulk, functional PBE-GGA.

Lattice parameters (Å, degrees): 5.1212 5.1212 5.7832 90.00 90.00 90.00
Last column: nearest neighbours and their distance in Å.
Fractional coordinates of all 5 atoms:
Rb 0.0000 0.0000 0.0000  4 Tl 3.62, 8 Ag 3.86
Tl 0.5000 0.5000 0.0000  2 Ge 2.89
Ag 0.0000 0.5000 0.5000  2 Ge 2.56
Ag 0.5000 0.0000 0.5000  2 Ge 2.56
Ge 0.5000 0.5000 0.5000  4 Ag 2.56

Calculated values
Energy of formation from the pure elements (meV per atom): 107



Entry 6:
RbV2AgGe after structural relaxation. Source: Alexandria via LeMat-Bulk, functional PBE-GGA.

Lattice parameters (Å, degrees): 5.3395 5.3395 4.8960 90.00 90.00 90.00
Last column: nearest neighbours and their distance in Å.
Fractional coordinates of all 5 atoms:
Rb 0.0000 0.0000 0.0000  8 V 3.62, 4 Ge 3.78
V 0.0000 0.5000 0.5000  2 Ag 2.67
V 0.5000 0.0000 0.5000  2 Ag 2.67
Ag 0.5000 0.5000 0.5000  2 Ge 2.45, 4 V 2.67
Ge 0.5000 0.5000 0.0000  2 Ag 2.45

Calculated values
Energy of formation from the pure elements (meV per atom): 1206



Entry 7:
RbZrAgGe2 after structural relaxation. Source: Alexandria via LeMat-Bulk, functional PBE-GGA.

Lattice parameters (Å, degrees): 5.0870 5.0870 5.4705 90.00 90.00 90.00
Last column: nearest neighbours and their distance in Å.
Fractional coordinates of all 5 atoms:
Rb 0.0000 0.0000 0.0000  2 Ag 2.74
Zr 0.5000 0.5000 0.0000  4 Rb 3.60, 8 Ge 3.74
Ag 0.0000 0.0000 0.5000  4 Ge 2.54, 2 Rb 2.74
Ge 0.0000 0.5000 0.5000  2 Ag 2.54
Ge 0.5000 0.0000 0.5000  2 Ag 2.54

Calculated values
Energy of formation from the pure elements (meV per atom): 969



Entry 8:
Re3AgGe after structural relaxation. Source: Alexandria via LeMat-Bulk, functional PBE-GGA.

Lattice parameters (Å, degrees): 4.5498 4.5498 4.5498 90.00 90.00 90.00
Last column: nearest neighbours and their distance in Å.
Fractional coordinates of all 5 atoms:
Re 0.0000 0.0000 0.5000  2 Ge 2.27
Re 0.0000 0.5000 0.0000  2 Ge 2.27
Re 0.5000 0.0000 0.0000  2 Ge 2.27
Ag 0.5000 0.5000 0.5000  12 Re 3.22
Ge 0.0000 0.0000 0.0000  6 Re 2.27

Calculated values
Excess energy over the best structure of this formula in the dataset (eV/atom): 0.000
Energy of formation from the pure elements (meV per atom): 1902



Total energy: -31.15 -38.84 -31.38 -50.96 -13.12 -20.65 -16.76 -35.30 (eV for the cell shown)